Record 1
A plane-wave DFT calculation with GGA-PBEsol was carried out for AlCoRh2S after structural relaxation.

It has space group P4/mmm (No. 123), with a = 4.428 Å, b = 4.428 Å, c = 4.348 Å, α = 90.00°, β = 90.00° and γ = 90.00°. The inequivalent atoms are Al at (0.000, 0.000, 0.000), Co at (0.500, 0.500, 0.500), Rh at (0.000, 0.500, 0.000) and S at (0.000, 0.000, 0.500).

The calculation puts the total energy at -5.370 eV per atom.


Record 2
A plane-wave DFT calculation with GGA-PBEsol was carried out for Ir2PtBr after structural relaxation.

It has space group Cm (No. 8), with a = 12.416 Å, b = 2.804 Å, c = 4.398 Å, α = 90.00°, β = 96.11° and γ = 90.00°. The inequivalent atoms are Ir at (0.000, 0.000, 0.000), Ir at (0.149, 0.500, 0.291), Pt at (0.464, 0.000, 0.493) and Br at (0.274, 0.000, 0.647).

The polymorph energy (0 for the lowest one) is 14.2 kJ/mol of atoms. The calculation puts the total energy at -6.375 eV per atom.


Record 3
A plane-wave DFT calculation with GGA-PBEsol was carried out for CsRb2AlF6 after structural relaxation.

It has space group Fm-3m (No. 225), with a = 9.100 Å, b = 9.100 Å, c = 9.100 Å, α = 90.00°, β = 90.00° and γ = 90.00°. The inequivalent atoms are Cs at (0.000, 0.000, 0.000), Rb at (0.250, 0.250, 0.250), Al at (0.000, 0.000, 0.500) and F at (0.000, 0.000, 0.300).

The calculation puts the total energy at -4.992 eV per atom.